# GGA+U TlCoNO2, relaxed
# DFT total energy = -24.6 eV for the cell shown
# M_tot = 0.068 μB/atom
data_TlCoNO2
_cell_length_a 4.0546
_cell_length_b 4.0546
_cell_length_c 3.4678
_cell_angle_alpha 90.00
_cell_angle_beta 90.00
_cell_angle_gamma 90.00
_space_group_name_H-M_alt 'P 4/m m m'
_space_group_IT_number 123
_space_group_name_Hall '-P 4 2'
loop_
_atom_site_label
_atom_site_fract_x
_atom_site_fract_y
_atom_site_fract_z
Tl1 0.0000 0.0000 0.0000
Co1 0.5000 0.5000 0.5000
N1 0.5000 0.5000 0.0000
O1 0.0000 0.5000 0.5000